Material: TaBeTl
Method: DFT, GGA-PBE
State: optimized geometry

Lattice parameters (Å, degrees): 5.052 5.052 6.809 104.69 104.69 40.62
Element x y z (fractional)
Ta 0.000 0.000 0.000
Ta 0.680 0.680 0.252
Be 0.385 0.385 0.190
Be 0.999 0.999 0.354
Tl 0.376 0.376 0.579
Tl 0.689 0.689 0.803

Results
ΔE to the lowest computed polymorph (eV per atom): 0.321
ΔH_f (0 K) (kcal/mol of atoms): 10.4


Material: TaBeTl2
Method: DFT, GGA-PBE
State: optimized geometry

Lattice parameters (Å, degrees): 4.874 4.874 4.874 60.00 60.00 60.00
Element x y z (fractional)
Ta 0.000 0.000 0.000
Be 0.500 0.500 0.500
Tl 0.250 0.250 0.250
Tl 0.750 0.750 0.750

Results
ΔE to the lowest computed polymorph (eV per atom): 0.642
ΔH_f (0 K) (kcal/mol of atoms): 25.7


Material: TaBe3Tl
Method: DFT, GGA-PBE
State: optimized geometry

Lattice parameters (Å, degrees): 4.612 4.612 4.612 90.00 90.00 90.00
Element x y z (fractional)
Ta 0.000 0.000 0.000
Be 0.000 0.000 0.500
Be 0.000 0.500 0.000
Be 0.500 0.000 0.000
Tl 0.500 0.500 0.500

Results
ΔE to the lowest computed polymorph (eV per atom): 0.000
ΔH_f (0 K) (kcal/mol of atoms): 34.6


Material: TaBeTl
Method: DFT, GGA-PBE
State: optimized geometry

Lattice parameters (Å, degrees): 5.407 5.407 4.599 90.00 90.00 125.68
Element x y z (fractional)
Ta 0.181 0.819 0.000
Ta 0.819 0.181 0.000
Be 0.000 0.500 0.500
Be 0.500 0.000 0.500
Tl 0.000 0.000 0.500
Tl 0.500 0.500 0.000

Results
ΔE to the lowest computed polymorph (eV per atom): 0.244
ΔH_f (0 K) (kcal/mol of atoms): 8.6


Material: TaBeTl
Method: DFT, GGA-PBE
State: optimized geometry

Lattice parameters (Å, degrees): 4.828 4.828 7.501 106.74 106.74 41.71
Element x y z (fractional)
Ta 0.000 0.000 0.000
Ta 0.665 0.665 0.821
Be 0.368 0.368 0.769
Be 0.937 0.937 0.659
Tl 0.132 0.132 0.454
Tl 0.335 0.335 0.201

Results
ΔE to the lowest computed polymorph (eV per atom): 0.278
ΔH_f (0 K) (kcal/mol of atoms): 9.4


Material: TaBeTl
Method: DFT, GGA-PBE
State: optimized geometry

Lattice parameters (Å, degrees): 5.964 5.794 3.100 77.78 71.70 30.53
Element x y z (fractional)
Ta 0.000 0.000 0.000
Be 0.636 0.636 0.364
Tl 0.293 0.293 0.707

Results
ΔE to the lowest computed polymorph (eV per atom): 0.376
ΔH_f (0 K) (kcal/mol of atoms): 11.7


Material: TaBeTl2
Method: DFT, GGA-PBE
State: optimized geometry

Lattice parameters (Å, degrees): 3.431 3.431 6.541 90.00 90.00 90.00
Element x y z (fractional)
Ta 0.000 0.000 0.000
Be 0.000 0.000 0.500
Tl 0.500 0.500 0.274
Tl 0.500 0.500 0.726

Results
ΔE to the lowest computed polymorph (eV per atom): 0.388
ΔH_f (0 K) (kcal/mol of atoms): 19.8


Material: TaBeTl2
Method: DFT, GGA-PBE
State: optimized geometry

Lattice parameters (Å, degrees): 5.560 5.560 5.560 137.47 137.47 61.71
Element x y z (fractional)
Ta 0.000 0.000 0.000
Be 0.750 0.250 0.500
Tl 0.250 0.750 0.500
Tl 0.500 0.500 0.000

Results
ΔE to the lowest computed polymorph (eV per atom): 0.269
ΔH_f (0 K) (kcal/mol of atoms): 17.1


Material: TaBeTl2
Method: DFT, GGA-PBE
State: optimized geometry

Lattice parameters (Å, degrees): 5.683 5.683 5.174 116.56 116.56 31.50
Element x y z (fractional)
Ta 0.000 0.000 0.000
Be 0.500 0.500 0.500
Tl 0.218 0.218 0.718
Tl 0.782 0.782 0.282

Results
ΔE to the lowest computed polymorph (eV per atom): 0.293
ΔH_f (0 K) (kcal/mol of atoms): 17.6


Material: TaBeTl2
Method: DFT, GGA-PBE
State: optimized geometry

Lattice parameters (Å, degrees): 3.019 5.136 5.307 90.00 90.00 90.00
Element x y z (fractional)
Ta 0.000 0.000 0.000
Be 0.500 0.000 0.500
Tl 0.000 0.500 0.500
Tl 0.500 0.500 0.000

Results
ΔE to the lowest computed polymorph (eV per atom): 0.360
ΔH_f (0 K) (kcal/mol of atoms): 19.2


Material: TaBeTl2
Method: DFT, GGA-PBE
State: optimized geometry

Lattice parameters (Å, degrees): 5.973 5.973 5.973 103.20 103.20 122.91
Element x y z (fractional)
Ta 0.000 0.000 0.000
Ta 0.750 0.250 0.500
Be 0.250 0.750 0.500
Be 0.500 0.500 0.000
Tl 0.175 0.125 0.550
Tl 0.375 0.825 0.950
Tl 0.575 0.625 0.450
Tl 0.875 0.425 0.050

Results
ΔE to the lowest computed polymorph (eV per atom): 0.408
ΔH_f (0 K) (kcal/mol of atoms): 20.3


Material: TaBeTl
Method: DFT, GGA-PBE
State: optimized geometry

Lattice parameters (Å, degrees): 9.504 9.504 3.554 90.05 90.05 20.35
Element x y z (fractional)
Ta 0.187 0.187 0.000
Ta 0.813 0.813 0.000
Be 0.282 0.282 0.500
Be 0.718 0.718 0.500
Tl 0.421 0.421 0.502
Tl 0.579 0.579 0.498

Results
ΔE to the lowest computed polymorph (eV per atom): 0.000
ΔH_f (0 K) (kcal/mol of atoms): 3.0


Material: TaBeTl2
Method: DFT, GGA-PBE
State: optimized geometry

Lattice parameters (Å, degrees): 4.334 4.334 4.132 90.00 90.00 90.00
Element x y z (fractional)
Ta 0.000 0.000 0.000
Be 0.500 0.500 0.000
Tl 0.000 0.500 0.500
Tl 0.500 0.000 0.500

Results
ΔE to the lowest computed polymorph (eV per atom): 0.331
ΔH_f (0 K) (kcal/mol of atoms): 18.5


Material: TaBeTl2
Method: DFT, GGA-PBE
State: optimized geometry

Lattice parameters (Å, degrees): 6.000 6.000 6.000 150.31 130.85 58.48
Element x y z (fractional)
Ta 0.000 0.000 0.000
Be 0.811 0.311 0.500
Tl 0.272 0.772 0.500
Tl 0.554 0.554 0.000

Results
ΔE to the lowest computed polymorph (eV per atom): 0.164
ΔH_f (0 K) (kcal/mol of atoms): 14.7


Material: TaBeTl2
Method: DFT, GGA-PBE
State: optimized geometry

Lattice parameters (Å, degrees): 9.257 9.257 9.257 19.63 19.63 19.63
Element x y z (fractional)
Ta 0.000 0.000 0.000
Be 0.500 0.500 0.500
Tl 0.241 0.241 0.241
Tl 0.759 0.759 0.759

Results
ΔE to the lowest computed polymorph (eV per atom): 0.205
ΔH_f (0 K) (kcal/mol of atoms): 15.6


Material: Ta3BeTl
Method: DFT, GGA-PBE
State: optimized geometry

Lattice parameters (Å, degrees): 4.472 4.472 4.472 90.00 90.00 90.00
Element x y z (fractional)
Ta 0.000 0.000 0.500
Ta 0.000 0.500 0.000
Ta 0.500 0.000 0.000
Be 0.000 0.000 0.000
Tl 0.500 0.500 0.500

Results
ΔE to the lowest computed polymorph (eV per atom): 0.000
ΔH_f (0 K) (kcal/mol of atoms): 12.7


Material: TaBeTl2
Method: DFT, GGA-PBE
State: optimized geometry

Lattice parameters (Å, degrees): 2.987 2.987 9.738 90.00 90.00 90.00
Element x y z (fractional)
Ta 0.000 0.000 0.000
Be 0.500 0.500 0.850
Tl 0.000 0.000 0.615
Tl 0.500 0.500 0.266

Results
ΔE to the lowest computed polymorph (eV per atom): 0.000
ΔH_f (0 K) (kcal/mol of atoms): 10.9


Material: TaBeTl2
Method: DFT, GGA-PBE
State: optimized geometry

Lattice parameters (Å, degrees): 3.076 4.286 5.981 90.00 90.98 90.00
Element x y z (fractional)
Ta 0.000 0.000 0.000
Be 0.500 0.000 0.500
Tl 0.457 0.500 0.746
Tl 0.543 0.500 0.254

Results
ΔE to the lowest computed polymorph (eV per atom): 0.330
ΔH_f (0 K) (kcal/mol of atoms): 18.5


Material: TaBeTl
Method: DFT, GGA-PBE
State: optimized geometry

Lattice parameters (Å, degrees): 4.483 4.483 4.483 60.00 60.00 60.00
Element x y z (fractional)
Ta 0.000 0.000 0.000
Be 0.250 0.250 0.250
Tl 0.750 0.750 0.750

Results
ΔE to the lowest computed polymorph (eV per atom): 1.119
ΔH_f (0 K) (kcal/mol of atoms): 28.8


Material: TmTa2Be6
Method: DFT, GGA-PBE
State: optimized geometry

Lattice parameters (Å, degrees): 6.568 6.568 3.048 90.00 90.00 120.00
Element x y z (fractional)
Tm 0.000 0.000 0.000
Ta 0.333 0.667 0.000
Ta 0.667 0.333 0.000
Be 0.000 0.344 0.500
Be 0.000 0.656 0.500
Be 0.344 0.000 0.500
Be 0.344 0.344 0.500
Be 0.656 0.000 0.500
Be 0.656 0.656 0.500

Results
ΔH_f (0 K) (kcal/mol of atoms): -1.1